Material: Na2NiH2F6
Method: DFT, GGA+U
State: optimized geometry

M_tot in μB per cell: 2.0
DOS at the Fermi energy in states/eV per atom: 0.00
Uncorrected energy in eV/atom: -4.1127

a b c (Å): 5.0630 5.0630 5.2150
angles (deg): 90.00 90.00 120.00
Closest atoms and distances in Å follow each position.
Space group P-3 (No. 147)
Asymmetric unit:
Na 0.3333 0.6667 0.3446  3 F 2.26, 1 H 2.35
Ni 0.0000 0.0000 0.0000  6 F 2.03
H 0.3333 0.6667 0.7949  3 F 1.36
F 0.1134 0.3677 0.7723  1 H 1.36